A plane-wave DFT calculation with GGA-PBE was carried out for a geometry-optimized Ac2TbTa structure.

Unit cell a=3.4990 b=3.4990 c=37.2020 alpha=90.00 beta=90.00 gamma=120.00
Atoms (fractional coordinates):
Ac  0.0000  0.0000  0.0816
Ac  0.0000  0.0000  0.9184
Ac  0.3333  0.6667  0.5851
Ac  0.3333  0.6667  0.7482
Ac  0.6667  0.3333  0.2518
Ac  0.6667  0.3333  0.4149
Tb  0.0000  0.0000  0.5000
Tb  0.3333  0.6667  0.1667
Tb  0.6667  0.3333  0.8333
Ta  0.0000  0.0000  0.0000
Ta  0.3333  0.6667  0.6667
Ta  0.6667  0.3333  0.3333

## Properties
- calculated formation energy (eV/atom) = 0.89

***

A plane-wave DFT calculation with GGA-PBE was carried out for a geometry-optimized AcTa4Te8 structure.

Unit cell a=9.3905 b=9.3905 c=9.3905 alpha=47.30 beta=47.30 gamma=47.30
Atoms (fractional coordinates):
Ac  0.0000  0.0000  0.0000
Ta  0.0000  0.0000  0.5000
Ta  0.0000  0.5000  0.0000
Ta  0.5000  0.0000  0.0000
Ta  0.5000  0.5000  0.5000
Te  0.2390  0.2390  0.2390
Te  0.2465  0.7345  0.7345
Te  0.2655  0.2655  0.7535
Te  0.2655  0.7535  0.2655
Te  0.7345  0.2465  0.7345
Te  0.7345  0.7345  0.2465
Te  0.7535  0.2655  0.2655
Te  0.7610  0.7610  0.7610

## Properties
- raw formation energy (kJ per mole of atoms) = -35.87

***

A plane-wave DFT calculation with GGA-PBE was carried out for a geometry-optimized AcTaTe2 structure.

Unit cell a=3.7213 b=3.7213 c=31.3607 alpha=90.00 beta=90.00 gamma=120.00
Atoms (fractional coordinates):
Ac  0.0000  0.0000  0.0000
Ac  0.3333  0.6667  0.6667
Ac  0.6667  0.3333  0.3333
Ta  0.0000  0.0000  0.5000
Ta  0.3333  0.6667  0.1667
Ta  0.6667  0.3333  0.8333
Te  0.0000  0.0000  0.1083
Te  0.0000  0.0000  0.8917
Te  0.3333  0.6667  0.5584
Te  0.3333  0.6667  0.7749
Te  0.6667  0.3333  0.2251
Te  0.6667  0.3333  0.4416

## Properties
- raw formation energy (kJ per mole of atoms) = -20.05

***

A plane-wave DFT calculation with GGA-PBE was carried out for a geometry-optimized Ac2ThTa structure.

Unit cell a=3.4800 b=3.4800 c=37.5202 alpha=90.00 beta=90.00 gamma=120.00
Atoms (fractional coordinates):
Ac  0.0000  0.0000  0.0815
Ac  0.0000  0.0000  0.9185
Ac  0.3333  0.6667  0.5852
Ac  0.3333  0.6667  0.7482
Ac  0.6667  0.3333  0.2518
Ac  0.6667  0.3333  0.4148
Th  0.0000  0.0000  0.5000
Th  0.3333  0.6667  0.1667
Th  0.6667  0.3333  0.8333
Ta  0.0000  0.0000  0.0000
Ta  0.3333  0.6667  0.6667
Ta  0.6667  0.3333  0.3333

## Properties
- calculated formation energy (eV/atom) = 0.91

***

A plane-wave DFT calculation with GGA-PBE was carried out for a geometry-optimized Ac2YTa structure.

Unit cell a=3.5058 b=3.5058 c=37.1808 alpha=90.00 beta=90.00 gamma=120.00
Atoms (fractional coordinates):
Ac  0.0000  0.0000  0.0816
Ac  0.0000  0.0000  0.9184
Ac  0.3333  0.6667  0.5851
Ac  0.3333  0.6667  0.7483
Ac  0.6667  0.3333  0.2517
Ac  0.6667  0.3333  0.4149
Y  0.0000  0.0000  0.5000
Y  0.3333  0.6667  0.1667
Y  0.6667  0.3333  0.8333
Ta  0.0000  0.0000  0.0000
Ta  0.3333  0.6667  0.6667
Ta  0.6667  0.3333  0.3333

## Properties
- calculated formation energy (eV/atom) = 0.89

***

A plane-wave DFT calculation with GGA-PBE was carried out for a geometry-optimized Ac6Tb structure.

Unit cell a=7.1482 b=7.1482 c=12.4677 alpha=90.00 beta=90.00 gamma=90.00
Atoms (fractional coordinates):
Ac  0.0780  0.5780  0.1373
Ac  0.0780  0.9220  0.8627
Ac  0.2500  0.2500  0.3619
Ac  0.2500  0.2500  0.6381
Ac  0.4220  0.5780  0.8627
Ac  0.4220  0.9220  0.1373
Ac  0.5780  0.0780  0.8627
Ac  0.5780  0.4220  0.1373
Ac  0.7500  0.7500  0.3619
Ac  0.7500  0.7500  0.6381
Ac  0.9220  0.0780  0.1373
Ac  0.9220  0.4220  0.8627
Tb  0.2500  0.7500  0.5000
Tb  0.7500  0.2500  0.5000

## Properties
- calculated formation energy (eV/atom) = 0.33

***

A plane-wave DFT calculation with GGA-PBE was carried out for a geometry-optimized Ac3Tb5 structure.

Unit cell a=3.7420 b=3.7420 c=20.8684 alpha=90.00 beta=90.00 gamma=90.00
Atoms (fractional coordinates):
Ac  0.0000  0.0000  0.0000
Ac  0.5000  0.5000  0.1427
Ac  0.5000  0.5000  0.8573
Tb  0.0000  0.0000  0.2716
Tb  0.0000  0.0000  0.5000
Tb  0.0000  0.0000  0.7284
Tb  0.5000  0.5000  0.3857
Tb  0.5000  0.5000  0.6143

## Properties
- calculated formation energy (eV/atom) = 0.06

***

A plane-wave DFT calculation with GGA-PBE was carried out for a geometry-optimized Ac3Tb structure.

Unit cell a=3.9246 b=3.9246 c=10.7906 alpha=90.00 beta=90.00 gamma=90.00
Atoms (fractional coordinates):
Ac  0.0000  0.0000  0.0000
Ac  0.5000  0.5000  0.2653
Ac  0.5000  0.5000  0.7347
Tb  0.0000  0.0000  0.5000

## Properties
- calculated formation energy (eV/atom) = 0.04

***

A plane-wave DFT calculation with GGA-PBE was carried out for a geometry-optimized Ac2Tb3 structure.

Unit cell a=5.3749 b=7.6496 c=9.7618 alpha=95.20 beta=105.36 gamma=91.26
Atoms (fractional coordinates):
Ac  0.0000  0.0000  0.0000
Ac  0.0718  0.2140  0.6492
Ac  0.5000  0.5000  0.5000
Ac  0.9282  0.7860  0.3508
Tb  0.1202  0.6731  0.7393
Tb  0.3046  0.5488  0.1166
Tb  0.4270  0.0716  0.3415
Tb  0.5730  0.9284  0.6585
Tb  0.6954  0.4512  0.8834
Tb  0.8798  0.3269  0.2607

## Properties
- calculated formation energy (eV/atom) = 0.25

***

A plane-wave DFT calculation with GGA-PBE was carried out for a geometry-optimized Ac7Tb structure.

Unit cell a=7.8854 b=7.8854 c=7.8854 alpha=60.00 beta=60.00 gamma=60.00
Atoms (fractional coordinates):
Ac  0.0000  0.0000  0.0000
Ac  0.0000  0.0000  0.5000
Ac  0.0000  0.5000  0.0000
Ac  0.0000  0.5000  0.5000
Ac  0.5000  0.0000  0.0000
Ac  0.5000  0.0000  0.5000
Ac  0.5000  0.5000  0.0000
Tb  0.5000  0.5000  0.5000

## Properties
- calculated formation energy (eV/atom) = 0.03

***

A plane-wave DFT calculation with GGA-PBE was carried out for a geometry-optimized Ac3Tb structure.

Unit cell a=8.7667 b=8.7667 c=8.7667 alpha=90.00 beta=90.00 gamma=90.00
Atoms (fractional coordinates):
Ac  0.0000  0.0000  0.0000
Ac  0.0000  0.5000  0.5000
Ac  0.2500  0.2500  0.2500
Ac  0.2500  0.2500  0.7500
Ac  0.2500  0.7500  0.2500
Ac  0.2500  0.7500  0.7500
Ac  0.5000  0.0000  0.5000
Ac  0.5000  0.5000  0.0000
Ac  0.7500  0.2500  0.2500
Ac  0.7500  0.2500  0.7500
Ac  0.7500  0.7500  0.2500
Ac  0.7500  0.7500  0.7500
Tb  0.0000  0.0000  0.5000
Tb  0.0000  0.5000  0.0000
Tb  0.5000  0.0000  0.0000
Tb  0.5000  0.5000  0.5000

## Properties
- calculated formation energy (eV/atom) = 0.16

***

A plane-wave DFT calculation with GGA-PBE was carried out for a geometry-optimized Ac8Tb structure.

Unit cell a=8.8233 b=8.8233 c=8.8233 alpha=95.78 beta=95.78 gamma=143.00
Atoms (fractional coordinates):
Ac  0.0000  0.3301  0.3301
Ac  0.0000  0.6699  0.6699
Ac  0.3301  0.0000  0.3301
Ac  0.3362  0.3362  0.6724
Ac  0.3362  0.6638  0.0000
Ac  0.6638  0.3362  0.0000
Ac  0.6638  0.6638  0.3276
Ac  0.6699  0.0000  0.6699
Tb  0.0000  0.0000  0.0000

## Properties
- calculated formation energy (eV/atom) = 0.03

***

Copy entry 11 word for word.
A plane-wave DFT calculation with GGA-PBE was carried out for a geometry-optimized Ac3Tb structure.

Unit cell a=8.7667 b=8.7667 c=8.7667 alpha=90.00 beta=90.00 gamma=90.00
Atoms (fractional coordinates):
Ac  0.0000  0.0000  0.0000
Ac  0.0000  0.5000  0.5000
Ac  0.2500  0.2500  0.2500
Ac  0.2500  0.2500  0.7500
Ac  0.2500  0.7500  0.2500
Ac  0.2500  0.7500  0.7500
Ac  0.5000  0.0000  0.5000
Ac  0.5000  0.5000  0.0000
Ac  0.7500  0.2500  0.2500
Ac  0.7500  0.2500  0.7500
Ac  0.7500  0.7500  0.2500
Ac  0.7500  0.7500  0.7500
Tb  0.0000  0.0000  0.5000
Tb  0.0000  0.5000  0.0000
Tb  0.5000  0.0000  0.0000
Tb  0.5000  0.5000  0.5000

## Properties
- calculated formation energy (eV/atom) = 0.16

***

What is the formula in the ninth record?
Ac2Tb3

***

Number 6 is which compound?
Ac6Tb